DFT (PBE with a Hubbard U) results for a relaxed structure of KNaMnO2.

```
KNaMnO2
1.0
5.7636 0.0000 0.0000
-2.8818 6.1947 0.0000
0.0000 0.0000 5.7863
K Na Mn O
2 2 2 4
direct
0.7500 0.5000 0.8552
0.2500 0.5000 0.1448
0.0000 0.0000 0.5000
0.5000 0.0000 0.5000
0.7500 0.0000 0.0000
0.2500 0.0000 0.0000
0.9091 0.8183 0.1753
0.5909 0.1817 0.1753
0.4091 0.8183 0.8247
0.0909 0.1817 0.8247
```

space group: No. 67
volume: 206.6 Å³/cell
uncorrected energy: -25.93 eV per formula unit